Entry 1:
First-principles (PBE) data for crystalline Hf3MnCo8 at its relaxed geometry, as listed in the Alexandria database.

E = -8.292 eV/atom
Calculated formation energy = -302 meV/atom

Lattice parameters (Å, degrees): 8.353 8.353 8.353 33.59 33.59 33.59
Element x y z (fractional)
Hf1 0.000 0.000 0.000
Hf2 0.128 0.128 0.128
Hf3 0.512 0.512 0.512
Mn1 0.633 0.633 0.633
Co1 0.066 0.567 0.567
Co2 0.069 0.069 0.566
Co3 0.069 0.566 0.069
Co4 0.317 0.317 0.317
Co5 0.566 0.069 0.069
Co6 0.567 0.066 0.567
Co7 0.567 0.567 0.066
Co8 0.817 0.817 0.817

---

Entry 2:
First-principles (PBE) data for crystalline CsGe12Pt3 at its relaxed geometry, as listed in the Alexandria database.

E = -4.695 eV/atom
Calculated formation energy = -46 meV/atom

Lattice parameters (Å, degrees): 12.485 12.485 12.485 39.85 39.85 39.85
Element x y z (fractional)
Cs1 0.000 0.000 0.000
Cs2 0.500 0.500 0.500
Ge1 0.000 0.229 0.361
Ge2 0.022 0.450 0.916
Ge3 0.037 0.782 0.695
Ge4 0.162 0.707 0.388
Ge5 0.195 0.282 0.537
Ge6 0.207 0.662 0.888
Ge7 0.229 0.361 0.000
Ge8 0.282 0.537 0.195
Ge9 0.361 0.000 0.229
Ge10 0.388 0.162 0.707
Ge11 0.416 0.950 0.522
Ge12 0.450 0.916 0.022
Ge13 0.500 0.861 0.729
Ge14 0.522 0.416 0.950
Ge15 0.537 0.195 0.282
Ge16 0.662 0.888 0.207
Ge17 0.695 0.037 0.782
Ge18 0.707 0.388 0.162
Ge19 0.729 0.500 0.861
Ge20 0.782 0.695 0.037
Ge21 0.861 0.729 0.500
Ge22 0.888 0.207 0.662
Ge23 0.916 0.022 0.450
Ge24 0.950 0.522 0.416
Pt1 0.081 0.432 0.687
Pt2 0.187 0.932 0.581
Pt3 0.432 0.687 0.081
Pt4 0.581 0.187 0.932
Pt5 0.687 0.081 0.432
Pt6 0.932 0.581 0.187

---

Entry 3:
First-principles (PBE) data for crystalline SrCeSb2Pd2 at its relaxed geometry, as listed in the Alexandria database.

E = -5.357 eV/atom
Energy relative to the elements, uncorrected = -983 meV/atom

Lattice parameters (Å, degrees): 4.623 4.623 8.297 90.00 90.00 120.00
Element x y z (fractional)
Sr1 0.000 0.000 0.000
Ce1 0.000 0.000 0.500
Sb1 0.333 0.667 0.274
Sb2 0.667 0.333 0.726
Pd1 0.333 0.667 0.732
Pd2 0.667 0.333 0.268

---

Entry 4:
First-principles (PBE) data for crystalline CaAsOs4 at its relaxed geometry, as listed in the Alexandria database.

E = -8.038 eV/atom
Calculated formation energy = 557 meV/atom

Lattice parameters (Å, degrees): 5.286 5.286 5.286 60.00 60.00 60.00
Element x y z (fractional)
Ca1 0.000 0.000 0.000
As1 0.250 0.250 0.250
Os1 0.127 0.624 0.624
Os2 0.624 0.127 0.624
Os3 0.624 0.624 0.127
Os4 0.624 0.624 0.624

---

Entry 5:
First-principles (PBE) data for crystalline LaReRh3 at its relaxed geometry, as listed in the Alexandria database.

E = -7.629 eV/atom
Calculated formation energy = 257 meV/atom

Lattice parameters (Å, degrees): 4.774 4.774 4.774 90.00 90.00 90.00
Element x y z (fractional)
La1 0.000 0.000 0.000
Re1 0.500 0.500 0.500
Rh1 0.000 0.500 0.500
Rh2 0.500 0.000 0.500
Rh3 0.500 0.500 0.000

---

Entry 6:
First-principles (PBE) data for crystalline BaTaRh2 at its relaxed geometry, as listed in the Alexandria database.

E = -6.487 eV/atom
Calculated formation energy = 633 meV/atom

Lattice parameters (Å, degrees): 4.046 4.046 9.974 90.00 90.00 90.00
Element x y z (fractional)
Ba1 0.000 0.000 0.000
Ba2 0.500 0.500 0.500
Ta1 0.000 0.500 0.250
Ta2 0.500 0.000 0.750
Rh1 0.000 0.000 0.500
Rh2 0.000 0.500 0.750
Rh3 0.500 0.000 0.250
Rh4 0.500 0.500 0.000

---

Entry 7:
First-principles (PBE) data for crystalline NaPa3H4O12 at its relaxed geometry, as listed in the Alexandria database.

E = -7.044 eV/atom

Lattice parameters (Å, degrees): 6.633 6.633 6.633 102.85 102.85 102.85
Element x y z (fractional)
Na1 0.000 0.000 0.000
Pa1 0.000 0.545 0.455
Pa2 0.455 0.000 0.545
Pa3 0.545 0.455 0.000
H1 0.116 0.500 0.884
H2 0.500 0.500 0.500
H3 0.500 0.884 0.116
H4 0.884 0.116 0.500
O1 0.024 0.599 0.779
O2 0.116 0.884 0.500
O3 0.221 0.401 0.976
O4 0.363 0.637 0.500
O5 0.401 0.976 0.221
O6 0.500 0.116 0.884
O7 0.500 0.363 0.637
O8 0.599 0.779 0.024
O9 0.637 0.500 0.363
O10 0.779 0.024 0.599
O11 0.884 0.500 0.116
O12 0.976 0.221 0.401

---

Entry 8:
First-principles (PBE) data for crystalline MgSi2B12 at its relaxed geometry, as listed in the Alexandria database.

E = -6.287 eV/atom
Energy relative to the elements, uncorrected = -116 meV/atom

Lattice parameters (Å, degrees): 11.032 6.124 8.397 90.00 90.00 90.00
Element x y z (fractional)
Mg1 0.071 0.250 0.159
Mg2 0.429 0.750 0.659
Mg3 0.571 0.250 0.341
Mg4 0.929 0.750 0.841
Si1 0.081 0.250 0.868
Si2 0.085 0.750 0.601
Si3 0.415 0.250 0.101
Si4 0.419 0.750 0.368
Si5 0.581 0.250 0.632
Si6 0.585 0.750 0.899
Si7 0.915 0.250 0.399
Si8 0.919 0.750 0.132
B1 0.097 0.750 0.057
B2 0.101 0.250 0.446
B3 0.147 0.750 0.846
B4 0.153 0.250 0.649
B5 0.169 0.515 0.967
B6 0.169 0.985 0.967
B7 0.173 0.017 0.530
B8 0.173 0.483 0.530
B9 0.208 0.592 0.167
B10 0.208 0.908 0.167
B11 0.213 0.091 0.334
B12 0.213 0.409 0.334
B13 0.287 0.591 0.834
B14 0.287 0.909 0.834
B15 0.292 0.092 0.667
B16 0.292 0.408 0.667
B17 0.327 0.517 0.030
B18 0.327 0.983 0.030
B19 0.331 0.015 0.467
B20 0.331 0.485 0.467
B21 0.347 0.750 0.149
B22 0.353 0.250 0.346
B23 0.399 0.750 0.946
B24 0.403 0.250 0.557
B25 0.597 0.750 0.443
B26 0.601 0.250 0.054
B27 0.647 0.750 0.654
B28 0.653 0.250 0.851
B29 0.669 0.515 0.533
B30 0.669 0.985 0.533
B31 0.673 0.017 0.970
B32 0.673 0.483 0.970
B33 0.708 0.592 0.333
B34 0.708 0.908 0.333
B35 0.713 0.091 0.166
B36 0.713 0.409 0.166
B37 0.787 0.591 0.666
B38 0.787 0.909 0.666
B39 0.792 0.092 0.833
B40 0.792 0.408 0.833
B41 0.827 0.517 0.470
B42 0.827 0.983 0.470
B43 0.831 0.015 0.033
B44 0.831 0.485 0.033
B45 0.847 0.750 0.351
B46 0.853 0.250 0.154
B47 0.899 0.750 0.554
B48 0.903 0.250 0.943

---

Entry 9:
First-principles (PBE) data for crystalline PrAl3Ni2 at its relaxed geometry, as listed in the Alexandria database.

E = -5.218 eV/atom
Calculated formation energy = -623 meV/atom

Lattice parameters (Å, degrees): 6.400 6.400 5.134 90.00 90.00 75.33
Element x y z (fractional)
Pr1 0.156 0.844 0.750
Pr2 0.844 0.156 0.250
Al1 0.025 0.583 0.250
Al2 0.417 0.975 0.250
Al3 0.440 0.560 0.250
Al4 0.560 0.440 0.750
Al5 0.583 0.025 0.750
Al6 0.975 0.417 0.750
Ni1 0.300 0.300 0.000
Ni2 0.300 0.300 0.500
Ni3 0.700 0.700 0.000
Ni4 0.700 0.700 0.500

---

Entry 10:
First-principles (PBE) data for crystalline Ac2GaCoPt6 at its relaxed geometry, as listed in the Alexandria database.

E = -6.093 eV/atom
Calculated formation energy = -634 meV/atom

Lattice parameters (Å, degrees): 8.404 8.404 8.404 40.10 40.10 40.10
Element x y z (fractional)
Ac1 0.207 0.207 0.207
Ac2 0.793 0.793 0.793
Ga1 0.000 0.000 0.000
Co1 0.500 0.500 0.500
Pt1 0.251 0.251 0.744
Pt2 0.251 0.744 0.251
Pt3 0.256 0.749 0.749
Pt4 0.744 0.251 0.251
Pt5 0.749 0.256 0.749
Pt6 0.749 0.749 0.256